No. 1
LaTbSm3Dy | PBE | relaxed

Values from the calculation:
The calculation puts the total energy at -4.526 eV/atom. Its energy relative to the elements is 0.193 eV/atom. Its crystal system is monoclinic. For the spin magnetization, the calculation gives 0.00 μB per cell.

Lattice parameters (Å, degrees): 10.604 10.604 6.917 90.94 90.94 31.60
Atoms (fractional coordinates):
La 0.145 0.145 0.026
La 0.855 0.855 0.974
Tb 0.145 0.145 0.469
Tb 0.855 0.855 0.531
Sm 0.020 0.020 0.744
Sm 0.280 0.280 0.746
Sm 0.340 0.340 0.263
Sm 0.660 0.660 0.737
Sm 0.720 0.720 0.254
Sm 0.980 0.980 0.256
Dy 0.444 0.444 0.734
Dy 0.556 0.556 0.266

---

No. 2
La3Tb2SmDy6 | PBE | relaxed

Values from the calculation:
The calculation puts the total energy at -4.680 eV/atom. Its energy relative to the elements is 0.018 eV/atom. Its crystal system is monoclinic. For the spin magnetization, the calculation gives 0.00 μB per cell.

Lattice parameters (Å, degrees): 6.254 6.254 11.882 95.03 95.03 120.01
Atoms (fractional coordinates):
La 0.000 0.000 0.000
La 0.333 0.667 0.000
La 0.667 0.333 0.000
Tb 0.167 0.833 0.500
Tb 0.833 0.167 0.500
Sm 0.500 0.500 0.500
Dy 0.085 0.418 0.254
Dy 0.248 0.248 0.746
Dy 0.418 0.085 0.254
Dy 0.582 0.915 0.746
Dy 0.752 0.752 0.254
Dy 0.915 0.582 0.746

---

No. 3
La5TbSm2Dy | PBE | relaxed

Values from the calculation:
The calculation puts the total energy at -4.533 eV/atom. Its energy relative to the elements is 0.279 eV/atom. Its crystal system is tetragonal. For the spin magnetization, the calculation gives 0.00 μB per cell.

Lattice parameters (Å, degrees): 10.278 10.278 10.278 128.87 128.87 75.22
Atoms (fractional coordinates):
La 0.000 0.000 0.000
La 0.068 0.568 0.921
La 0.148 0.068 0.500
La 0.352 0.852 0.921
La 0.432 0.352 0.500
La 0.500 0.500 0.000
La 0.568 0.648 0.500
La 0.648 0.148 0.079
La 0.852 0.932 0.500
La 0.932 0.432 0.079
Tb 0.250 0.250 0.000
Tb 0.750 0.750 0.000
Sm 0.118 0.382 0.500
Sm 0.382 0.882 0.263
Sm 0.618 0.118 0.737
Sm 0.882 0.618 0.500
Dy 0.250 0.750 0.500
Dy 0.750 0.250 0.500

---

No. 4
La6TbSm2Dy | PBE | relaxed

Values from the calculation:
The calculation puts the total energy at -4.711 eV/atom. Its energy relative to the elements is 0.112 eV/atom. Its crystal system is monoclinic. For the spin magnetization, the calculation gives 0.00 μB per cell.

Lattice parameters (Å, degrees): 9.131 9.131 9.275 90.37 90.37 114.45
Atoms (fractional coordinates):
La 0.029 0.466 0.819
La 0.074 0.777 0.591
La 0.223 0.926 0.909
La 0.282 0.569 0.404
La 0.431 0.718 0.096
La 0.466 0.029 0.319
La 0.534 0.971 0.681
La 0.569 0.282 0.904
La 0.718 0.431 0.596
La 0.777 0.074 0.091
La 0.926 0.223 0.409
La 0.971 0.534 0.181
Tb 0.066 0.934 0.250
Tb 0.934 0.066 0.750
Sm 0.205 0.295 0.064
Sm 0.295 0.205 0.564
Sm 0.705 0.795 0.436
Sm 0.795 0.705 0.936
Dy 0.429 0.571 0.750
Dy 0.571 0.429 0.250

---

No. 5
LaTbSm2Dy2 | PBE | relaxed

Values from the calculation:
The calculation puts the total energy at -4.438 eV/atom. Its energy relative to the elements is 0.262 eV/atom. Its crystal system is orthorhombic. For the spin magnetization, the calculation gives 0.00 μB per cell.

Lattice parameters (Å, degrees): 6.673 17.872 3.401 90.00 90.00 90.00
Atoms (fractional coordinates):
La 0.000 0.000 0.000
La 0.500 0.500 0.500
Tb 0.000 0.500 0.000
Tb 0.500 0.000 0.500
Sm 0.223 0.350 0.500
Sm 0.277 0.850 0.000
Sm 0.723 0.150 0.000
Sm 0.777 0.650 0.500
Dy 0.227 0.182 0.000
Dy 0.273 0.682 0.500
Dy 0.727 0.318 0.500
Dy 0.773 0.818 0.000

---

No. 6
La2Tb4Sm2Dy | PBE | relaxed

Values from the calculation:
The calculation puts the total energy at -4.709 eV/atom. Its energy relative to the elements is 0.004 eV/atom. Its crystal system is monoclinic. For the spin magnetization, the calculation gives 0.00 μB per cell.

Lattice parameters (Å, degrees): 9.636 9.636 9.685 115.20 115.20 21.84
Atoms (fractional coordinates):
La 0.165 0.165 0.000
La 0.835 0.835 0.000
Tb 0.020 0.020 0.333
Tb 0.315 0.315 0.663
Tb 0.685 0.685 0.337
Tb 0.980 0.980 0.667
Sm 0.353 0.353 0.337
Sm 0.647 0.647 0.663
Dy 0.500 0.500 0.000

---

No. 7
LaTbSm2Dy5 | PBE | relaxed

Values from the calculation:
The calculation puts the total energy at -4.404 eV/atom. Its energy relative to the elements is 0.263 eV/atom. Its crystal system is tetragonal. For the spin magnetization, the calculation gives 0.00 μB per cell.

Lattice parameters (Å, degrees): 9.907 9.907 9.907 127.33 127.33 77.72
Atoms (fractional coordinates):
La 0.250 0.250 0.000
La 0.750 0.750 0.000
Tb 0.250 0.750 0.500
Tb 0.750 0.250 0.500
Sm 0.116 0.616 0.733
Sm 0.384 0.116 0.500
Sm 0.616 0.884 0.500
Sm 0.884 0.384 0.267
Dy 0.000 0.000 0.000
Dy 0.073 0.157 0.500
Dy 0.157 0.657 0.085
Dy 0.343 0.427 0.500
Dy 0.427 0.927 0.085
Dy 0.500 0.500 0.000
Dy 0.573 0.073 0.915
Dy 0.657 0.573 0.500
Dy 0.843 0.343 0.915
Dy 0.927 0.843 0.500

---

No. 8
La3TbSmDy | PBE | relaxed

Values from the calculation:
The calculation puts the total energy at -4.761 eV/atom. Its energy relative to the elements is 0.028 eV/atom. Its crystal system is monoclinic. For the spin magnetization, the calculation gives 0.00 μB per cell.

Lattice parameters (Å, degrees): 8.132 5.215 10.387 90.00 108.62 90.00
Atoms (fractional coordinates):
La 0.169 0.250 0.041
La 0.169 0.250 0.544
La 0.172 0.750 0.293
La 0.828 0.250 0.707
La 0.831 0.750 0.456
La 0.831 0.750 0.959
Tb 0.497 0.750 0.627
Tb 0.503 0.250 0.373
Sm 0.172 0.750 0.793
Sm 0.828 0.250 0.207
Dy 0.500 0.250 0.877
Dy 0.500 0.750 0.123

---

No. 9
La2TbSmDy5 | PBE | relaxed

Values from the calculation:
The calculation puts the total energy at -4.440 eV/atom. Its energy relative to the elements is 0.250 eV/atom. Its crystal system is tetragonal. For the spin magnetization, the calculation gives 0.00 μB per cell.

Lattice parameters (Å, degrees): 10.037 10.037 10.037 129.03 129.03 74.96
Atoms (fractional coordinates):
La 0.119 0.619 0.737
La 0.381 0.119 0.500
La 0.619 0.881 0.500
La 0.881 0.381 0.263
Tb 0.250 0.250 0.000
Tb 0.750 0.750 0.000
Sm 0.250 0.750 0.500
Sm 0.750 0.250 0.500
Dy 0.000 0.000 0.000
Dy 0.073 0.143 0.500
Dy 0.143 0.643 0.070
Dy 0.357 0.427 0.500
Dy 0.427 0.927 0.070
Dy 0.500 0.500 0.000
Dy 0.573 0.073 0.930
Dy 0.643 0.573 0.500
Dy 0.857 0.357 0.930
Dy 0.927 0.857 0.500

---

No. 10
La2TbSm3Dy6 | PBE | relaxed

Values from the calculation:
The calculation puts the total energy at -4.672 eV/atom. Its energy relative to the elements is 0.016 eV/atom. Its crystal system is monoclinic. For the spin magnetization, the calculation gives 0.00 μB per cell.

Lattice parameters (Å, degrees): 6.247 6.247 11.871 95.02 95.02 120.00
Atoms (fractional coordinates):
La 0.166 0.834 0.000
La 0.834 0.166 0.000
Tb 0.500 0.500 0.000
Sm 0.000 0.000 0.500
Sm 0.333 0.667 0.500
Sm 0.667 0.333 0.500
Dy 0.083 0.416 0.748
Dy 0.252 0.252 0.252
Dy 0.416 0.083 0.748
Dy 0.584 0.917 0.252
Dy 0.748 0.748 0.748
Dy 0.917 0.584 0.252

---

No. 11
La2Tb2SmDy4 | PBE | relaxed

Values from the calculation:
The calculation puts the total energy at -4.695 eV/atom. Its energy relative to the elements is -0.001 eV/atom. Its crystal system is monoclinic. For the spin magnetization, the calculation gives 0.00 μB per cell.

Lattice parameters (Å, degrees): 9.599 9.599 9.635 115.24 115.24 21.82
Atoms (fractional coordinates):
La 0.166 0.166 0.499
La 0.834 0.834 0.501
Tb 0.353 0.353 0.838
Tb 0.647 0.647 0.162
Sm 0.500 0.500 0.500
Dy 0.020 0.020 0.837
Dy 0.314 0.314 0.162
Dy 0.686 0.686 0.838
Dy 0.980 0.980 0.163

---

No. 12
La5Tb2SmDy | PBE | relaxed

Values from the calculation:
The calculation puts the total energy at -4.678 eV/atom. Its energy relative to the elements is 0.124 eV/atom. Its crystal system is orthorhombic. For the spin magnetization, the calculation gives 0.00 μB per cell.

Lattice parameters (Å, degrees): 11.283 11.283 10.635 90.00 90.00 151.64
Atoms (fractional coordinates):
La 0.000 0.000 0.000
La 0.000 0.000 0.500
La 0.123 0.877 0.750
La 0.221 0.779 0.060
La 0.221 0.779 0.440
La 0.499 0.501 0.750
La 0.501 0.499 0.250
La 0.779 0.221 0.560
La 0.779 0.221 0.940
La 0.877 0.123 0.250
Tb 0.387 0.613 0.001
Tb 0.387 0.613 0.499
Tb 0.613 0.387 0.501
Tb 0.613 0.387 0.999
Sm 0.288 0.712 0.750
Sm 0.712 0.288 0.250
Dy 0.101 0.899 0.250
Dy 0.899 0.101 0.750

---

No. 13
La3Tb6SmDy2 | PBE | relaxed

Values from the calculation:
The calculation puts the total energy at -4.688 eV/atom. Its energy relative to the elements is 0.019 eV/atom. Its crystal system is monoclinic. For the spin magnetization, the calculation gives 0.00 μB per cell.

Lattice parameters (Å, degrees): 6.260 6.260 11.938 95.02 95.02 120.01
Atoms (fractional coordinates):
La 0.000 0.000 0.000
La 0.333 0.667 0.000
La 0.667 0.333 0.000
Tb 0.085 0.419 0.255
Tb 0.248 0.248 0.745
Tb 0.419 0.085 0.255
Tb 0.581 0.915 0.745
Tb 0.752 0.752 0.255
Tb 0.915 0.581 0.745
Sm 0.500 0.500 0.500
Dy 0.167 0.833 0.500
Dy 0.833 0.167 0.500

---

No. 14
La4TbSm2Dy | PBE | relaxed

Values from the calculation:
The calculation puts the total energy at -4.780 eV/atom. Its energy relative to the elements is 0.017 eV/atom. Its crystal system is monoclinic. For the spin magnetization, the calculation gives 0.00 μB per cell.

Lattice parameters (Å, degrees): 5.222 5.264 10.136 90.00 90.06 90.00
Atoms (fractional coordinates):
La 0.000 0.000 0.250
La 0.000 0.000 0.750
La 0.500 0.500 0.250
La 0.500 0.500 0.750
Tb 0.000 0.500 0.000
Sm 0.000 0.500 0.500
Sm 0.500 0.000 0.000
Dy 0.500 0.000 0.500

---

No. 15
LaTb2Sm5Dy | PBE | relaxed

Values from the calculation:
The calculation puts the total energy at -4.426 eV/atom. Its energy relative to the elements is 0.284 eV/atom. Its crystal system is tetragonal. For the spin magnetization, the calculation gives 0.00 μB per cell.

Lattice parameters (Å, degrees): 9.792 9.792 9.792 123.86 123.86 83.43
Atoms (fractional coordinates):
La 0.250 0.250 0.000
La 0.750 0.750 0.000
Tb 0.111 0.611 0.722
Tb 0.389 0.111 0.500
Tb 0.611 0.889 0.500
Tb 0.889 0.389 0.278
Sm 0.000 0.000 0.000
Sm 0.073 0.166 0.500
Sm 0.166 0.666 0.093
Sm 0.334 0.427 0.500
Sm 0.427 0.927 0.093
Sm 0.500 0.500 0.000
Sm 0.573 0.073 0.907
Sm 0.666 0.573 0.500
Sm 0.834 0.334 0.907
Sm 0.927 0.834 0.500
Dy 0.250 0.750 0.500
Dy 0.750 0.250 0.500

---

No. 16
La2TbSmDy | PBE | relaxed

Values from the calculation:
The calculation puts the total energy at -4.412 eV/atom. Its energy relative to the elements is 0.349 eV/atom. Its crystal system is orthorhombic. For the spin magnetization, the calculation gives 0.00 μB per cell.

Lattice parameters (Å, degrees): 8.926 8.926 6.545 90.00 90.00 136.97
Atoms (fractional coordinates):
La 0.250 0.250 0.000
La 0.250 0.250 0.500
La 0.750 0.750 0.000
La 0.750 0.750 0.500
Tb 0.157 0.843 0.750
Tb 0.843 0.157 0.250
Sm 0.341 0.659 0.750
Sm 0.659 0.341 0.250
Dy 0.249 0.751 0.250
Dy 0.751 0.249 0.750

---

No. 17
La2TbSm2Dy | PBE | relaxed

Values from the calculation:
The calculation puts the total energy at -4.697 eV/atom. Its energy relative to the elements is 0.058 eV/atom. Its crystal system is orthorhombic. For the spin magnetization, the calculation gives 0.00 μB per cell.

Lattice parameters (Å, degrees): 7.120 5.751 9.968 90.00 90.00 90.00
Atoms (fractional coordinates):
La 0.000 0.000 0.000
La 0.250 0.500 0.175
La 0.500 0.000 0.000
La 0.750 0.500 0.825
Tb 0.000 0.500 0.500
Tb 0.500 0.500 0.500
Sm 0.250 0.000 0.333
Sm 0.250 0.500 0.835
Sm 0.750 0.000 0.667
Sm 0.750 0.500 0.165
Dy 0.250 0.000 0.659
Dy 0.750 0.000 0.341

---

No. 18
La2TbSm6Dy | PBE | relaxed

Values from the calculation:
The calculation puts the total energy at -4.624 eV/atom. Its energy relative to the elements is 0.116 eV/atom. Its crystal system is monoclinic. For the spin magnetization, the calculation gives 0.00 μB per cell.

Lattice parameters (Å, degrees): 8.863 8.863 10.055 95.28 95.28 118.01
Atoms (fractional coordinates):
La 0.192 0.291 0.041
La 0.291 0.192 0.541
La 0.709 0.808 0.459
La 0.808 0.709 0.959
Tb 0.012 0.988 0.250
Tb 0.988 0.012 0.750
Sm 0.021 0.581 0.189
Sm 0.123 0.740 0.557
Sm 0.260 0.877 0.943
Sm 0.296 0.501 0.379
Sm 0.419 0.979 0.311
Sm 0.499 0.704 0.121
Sm 0.501 0.296 0.879
Sm 0.581 0.021 0.689
Sm 0.704 0.499 0.621
Sm 0.740 0.123 0.057
Sm 0.877 0.260 0.443
Sm 0.979 0.419 0.811
Dy 0.405 0.595 0.750
Dy 0.595 0.405 0.250

---

No. 19
La2TbSm4Dy | PBE | relaxed

Values from the calculation:
The calculation puts the total energy at -4.720 eV/atom. Its energy relative to the elements is 0.026 eV/atom. Its crystal system is monoclinic. For the spin magnetization, the calculation gives 0.00 μB per cell.

Lattice parameters (Å, degrees): 5.137 5.153 10.324 90.00 90.12 90.00
Atoms (fractional coordinates):
La 0.000 0.000 0.000
La 0.500 0.500 0.500
Tb 0.000 0.000 0.500
Sm 0.000 0.500 0.249
Sm 0.000 0.500 0.751
Sm 0.500 0.000 0.250
Sm 0.500 0.000 0.750
Dy 0.500 0.500 0.000